[1]
Computed, not measured: a relaxed Tb3Zn2Ni9 crystal at the PBE level of DFT.

Values from the calculation:
spin magnetization	0.00	μB/cell
ΔH_f (0 K)	-4.4	eV per formula unit
DFT total energy	-72.8	eV/cell
SG	Immm, No. 71

POSCAR file:
```
Tb3Zn2Ni9
1.0
-1.995 4.306 6.119
1.995 -4.306 6.119
1.995 4.306 -6.119
Tb Zn Ni
3 2 9
Cartesian
0.000 0.000 0.000
0.000 0.000 3.719
0.000 0.000 8.519
1.995 2.491 0.000
0.000 1.815 6.119
1.995 -1.257 2.192
1.995 -1.928 4.649
1.995 1.257 2.192
0.000 2.377 1.470
0.000 4.306 0.000
1.995 1.928 4.649
0.000 3.049 3.927
0.000 6.234 1.470
0.000 5.563 3.927
```


[2]
Computed, not measured: a relaxed Tb3ZnNi crystal at the PBE level of DFT.

Values from the calculation:
distance to the lowest polymorph of the same formula	8	meV per atom
spin magnetization	0.00	μB/cell
ΔH_f (0 K)	-1.3	eV per formula unit
DFT total energy	-44.5	eV/cell
SG	C2/m, No. 12

POSCAR file:
```
Tb3ZnNi
1.0
4.596 -3.195 0.000
4.596 3.195 0.000
-4.576 0.000 8.007
Tb Zn Ni
6 2 2
Cartesian
-0.579 0.000 2.337
-0.559 0.000 5.650
2.302 0.000 0.787
2.312 0.000 7.220
5.174 0.000 2.357
5.194 0.000 5.669
2.307 1.233 4.003
2.307 -1.233 4.003
4.596 1.589 0.000
4.596 -1.589 0.000
```


[3]
Computed, not measured: a relaxed Tb2ZnNi3 crystal at the PBE level of DFT.

Values from the calculation:
spin magnetization	0.00	μB/cell
ΔH_f (0 K)	-2.3	eV per formula unit
DFT total energy	-60.3	eV/cell
SG	Fmmm, No. 69

POSCAR file:
```
Tb2ZnNi3
1.0
0.000 4.128 7.093
3.708 0.000 7.093
3.708 4.128 0.000
Tb Zn Ni
4 2 6
Cartesian
5.586 4.128 7.093
1.854 2.064 3.546
5.562 6.192 10.639
1.829 4.128 7.093
3.708 4.128 4.734
3.708 4.128 9.452
3.708 2.040 5.920
3.708 4.128 2.338
3.708 2.040 8.266
3.708 6.215 5.920
3.708 4.128 11.847
3.708 6.215 8.266
```


[4]
Computed, not measured: a relaxed Tb4Zn3Ni crystal at the PBE level of DFT.

Values from the calculation:
spin magnetization	0.00	μB/cell
ΔH_f (0 K)	-2.8	eV per formula unit
DFT total energy	-31.0	eV/cell
SG	P4/mmm, No. 123

POSCAR file:
```
Tb4Zn3Ni
1.0
3.533 0.000 0.000
0.000 3.533 0.000
0.000 0.000 14.141
Tb Zn Ni
4 3 1
Cartesian
0.000 0.000 1.622
0.000 0.000 5.263
0.000 0.000 8.879
0.000 0.000 12.519
1.766 1.766 3.472
1.766 1.766 7.071
1.766 1.766 10.670
1.766 1.766 0.000
```


[5]
Computed, not measured: a relaxed Tb2Zn7Ni crystal at the PBE level of DFT.

Values from the calculation:
spin magnetization	0.00	μB/cell
ΔH_f (0 K)	-2.9	eV per formula unit
DFT total energy	-26.8	eV/cell
SG	P-4m2, No. 115

POSCAR file:
```
Tb2Zn7Ni
1.0
4.046 0.000 0.000
0.000 4.046 0.000
0.000 0.000 10.916
Tb Zn Ni
2 7 1
Cartesian
0.000 2.023 2.617
2.023 0.000 8.299
0.000 0.000 0.000
0.000 0.000 5.458
0.000 2.023 7.031
0.000 2.023 9.487
2.023 0.000 1.429
2.023 0.000 3.885
2.023 2.023 5.458
2.023 2.023 0.000
```


[6]
Computed, not measured: a relaxed Tb12Zn6Ni crystal at the PBE level of DFT.

Values from the calculation:
spin magnetization	0.00	μB/cell
ΔH_f (0 K)	-2.2	eV per formula unit
DFT total energy	-71.2	eV/cell
SG	R-3, No. 148

POSCAR file:
```
Tb12Zn6Ni
1.0
5.836 3.369 4.319
-5.836 3.369 4.319
0.000 -6.738 4.319
Tb Zn Ni
12 6 1
Cartesian
-5.157 -1.417 7.231
-1.351 -5.175 5.725
-1.294 -1.619 4.851
-3.806 3.758 5.725
-0.755 1.930 4.851
-2.049 0.311 8.104
2.049 -0.311 4.851
0.755 -1.930 8.104
3.806 -3.758 7.231
1.294 1.619 8.104
1.351 5.175 7.231
5.157 1.417 5.725
-3.544 0.661 5.496
-2.345 -2.739 7.460
1.199 -3.400 5.496
-1.199 3.400 7.460
2.345 2.739 5.496
3.544 -0.661 7.460
0.000 0.000 6.478
```